BaAlTlO4: optimized geometry, PBE.

Calculated values
E_form (uncorrected) (kcal/mol of atoms): -46.9
Space-group type: P2_1/m, No. 11

Cell: 5.6597 5.9100 7.1605 Å, 90.00 107.04 90.00°
Element x y z (fractional)
Ba 0.7162 0.7500 0.9330
Ba 0.2838 0.2500 0.0670
Al 0.2625 0.7500 0.3331
Al 0.7375 0.2500 0.6669
Tl 0.8081 0.7500 0.4575
Tl 0.1919 0.2500 0.5425
O 0.9625 0.4762 0.7022
O 0.0375 0.9762 0.2978
O 0.0375 0.5238 0.2978
O 0.9625 0.0238 0.7022
O 0.4315 0.7500 0.1609
O 0.5685 0.2500 0.8391
O 0.4786 0.7500 0.5669
O 0.5214 0.2500 0.4331